# FeOs2

A PBEsol-optimized structure of FeOs2 (SCAN, Alexandria). Values from VASP.

Quantum ESPRESSO input file:
```
&SYSTEM
  ibrav = 0, nat = 3, ntyp = 2
/
ATOMIC_SPECIES
Fe 55.84 Fe.upf
Os 190.23 Os.upf
CELL_PARAMETERS angstrom
2.5728 0.0000 0.0000
0.0000 4.1402 0.0000
0.0000 0.0000 4.1402
ATOMIC_POSITIONS crystal
Fe 0.0000 0.0000 0.0000
Os 0.5000 0.0000 0.5000
Os 0.5000 0.5000 0.0000
```

Calculated values
E_form: 95 kJ/mol of atoms
E above lowest polymorph: 841.2 meV/atom